{"formula": "LiCoOs2", "functional": "GGA-PBEsol", "state": "optimized geometry", "dos_at_fermi_per_ev_cell": 2.953, "rho_g_cm3": 15.3, "ef_mev_per_atom": 258, "de_polymorph_kcal_per_mol_atoms": 0.12, "spacegroup": "Pm, No. 6", "lattice_angstrom": [[2.601, 0.000, 0.000], [0.000, 3.945, 0.000], [-1.300, 0.000, 4.709]], "species": ["Li", "Co", "Os", "Os"], "frac_coords": [[0.000, 0.000, 0.000], [0.889, 0.500, 0.787], [0.254, 0.000, 0.515], [0.626, 0.500, 0.259]]}